The following is a PBE calculation of a relaxed Rb2TlAgCl4 crystal, from the Alexandria database.

Values from the calculation:
DFT total energy   -25.05 eV per formula unit
ΔE_f (raw)   -1.3136 eV/atom

Cell: 4.4915 15.1299 16.3363 Å, 90.00 90.00 90.00°
Closest atoms and distances in Å follow each position.
Space group Cmcm (No. 63)
Asymmetric unit:
Rb  0.0000  0.1326  0.0521 (multiplicity 8)  6 Cl 3.13-3.40
Tl  0.0000  0.3759  0.2500 (multiplicity 4)  6 Cl 3.30-3.64
Ag  0.0000  0.3466  0.7500 (multiplicity 4)  4 Cl 2.61-2.64
Cl  0.0000  0.0655  0.2500 (multiplicity 4)  2 Ag 2.61
Cl  0.0000  0.2247  0.6347 (multiplicity 8)  1 Ag 2.64
Cl  0.0000  0.5000  0.0000 (multiplicity 4)  4 Rb 3.13

---

The following is a PBE calculation of a relaxed Rb2Tl3AgCl6 crystal, from the Alexandria database.

Values from the calculation:
DFT total energy   -37.47 eV per formula unit
ΔE_f (raw)   -1.2092 eV/atom

Cell: 7.8835 13.4619 7.9448 Å, 90.00 109.79 90.00°
Closest atoms and distances in Å follow each position.
Space group C2/m (No. 12)
Asymmetric unit:
Rb  0.0000  0.1647  0.0000 (multiplicity 4)  6 Cl 3.26-3.31
Tl  0.0000  0.0000  0.5000 (multiplicity 2)  6 Cl 3.21-3.27
Tl  0.0000  0.3337  0.5000 (multiplicity 4)  4 Cl 3.08-3.22
Ag  0.0000  0.5000  0.0000 (multiplicity 2)  4 Cl 2.79
Cl  0.2162  0.3554  0.2237 (multiplicity 8)  1 Ag 2.79
Cl  0.2308  0.5000  0.7355 (multiplicity 4)  3 Tl 3.08-3.27, 1 Ag 3.21, 2 Rb 3.29

---

The following is a PBE calculation of a relaxed RbTm2AgCl8 crystal, from the Alexandria database.

Values from the calculation:
DFT total energy   -50.22 eV per formula unit
ΔE_f (raw)   -1.8900 eV/atom

Cell: 6.7124 6.9161 8.1526 Å, 90.09 90.04 96.36°
Closest atoms and distances in Å follow each position.
Space group P-1 (No. 2)
Asymmetric unit:
Rb  0.0000  0.0000  0.0000 (multiplicity 1)  6 Cl 3.09-3.45
Tm  0.5005  0.4998  0.2583 (multiplicity 2)  6 Cl 2.56-2.70
Ag  0.0000  0.0000  0.5000 (multiplicity 1)  4 Cl 2.72-2.74
Cl  0.2650  0.1816  0.7183 (multiplicity 2)  1 Tm 2.57, 1 Ag 2.72
Cl  0.2681  0.1806  0.2807 (multiplicity 2)  1 Tm 2.56, 1 Ag 2.74
Cl  0.2884  0.6342  0.4995 (multiplicity 2)  2 Tm 2.65-2.66
Cl  0.2980  0.6237  0.0004 (multiplicity 2)  2 Tm 2.69-2.70

---

The following is a PBE calculation of a relaxed Rb3TmAg2Cl8 crystal, from the Alexandria database.

Values from the calculation:
DFT total energy   -50.21 eV per formula unit
ΔE_f (raw)   -1.5972 eV/atom

Cell: 7.3825 7.3825 9.8738 Å, 90.00 90.00 120.00°
Closest atoms and distances in Å follow each position.
Space group P-3m1 (No. 164)
Asymmetric unit:
Rb  0.0000  0.0000  0.0000 (multiplicity 1)  12 Cl 3.99-4.31
Rb  0.3333  0.6667  0.6230 (multiplicity 2)  1 Cl 3.11
Tm  0.0000  0.0000  0.5000 (multiplicity 1)  6 Cl 2.60
Ag  0.3333  0.6667  0.1808 (multiplicity 2)  1 Cl 2.40
Cl  0.1638  0.3276  0.3445 (multiplicity 6)  1 Tm 2.60, 1 Ag 2.70
Cl  0.3333  0.6667  0.9376 (multiplicity 2)  1 Ag 2.40

---

The following is a PBE calculation of a relaxed Rb3TmAg2Cl9 crystal, from the Alexandria database.

Values from the calculation:
DFT total energy   -52.92 eV per formula unit
ΔE_f (raw)   -1.5484 eV/atom

Cell: 7.4440 7.4440 9.2329 Å, 90.00 90.00 120.00°
Closest atoms and distances in Å follow each position.
Space group P-3m1 (No. 164)
Asymmetric unit:
Rb  0.0000  0.0000  0.0000 (multiplicity 1)  12 Cl 3.72-3.77
Rb  0.3333  0.6667  0.6894 (multiplicity 2)  12 Cl 3.58-3.91
Tm  0.0000  0.0000  0.5000 (multiplicity 1)  6 Cl 2.60
Ag  0.3333  0.6667  0.1564 (multiplicity 2)  6 Cl 2.59-2.75
Cl  0.0000  0.5000  0.0000 (multiplicity 3)  2 Ag 2.59
Cl  0.1644  0.3288  0.3377 (multiplicity 6)  1 Tm 2.60, 1 Ag 2.75

---

The following is a PBE calculation of a relaxed RbTmAg2Cl6 crystal, from the Alexandria database.

Values from the calculation:
DFT total energy   -37.01 eV per formula unit
ΔE_f (raw)   -1.4791 eV/atom

Cell: 7.1355 7.1355 19.5158 Å, 90.00 90.00 120.00°
Closest atoms and distances in Å follow each position.
Space group R3 (No. 146, hexagonal axes)
Asymmetric unit:
Rb  0.0000  0.0000  0.0000 (multiplicity 3)  6 Cl 3.19-3.41
Tm  0.0000  0.0000  0.4765 (multiplicity 3)  6 Cl 2.62-2.64
Ag  0.0000  0.0000  0.2812 (multiplicity 3)  6 Cl 2.75-2.93
Ag  0.0000  0.0000  0.8009 (multiplicity 3)  6 Cl 2.72-2.91
Cl  0.0193  0.3470  0.2128 (multiplicity 9)  1 Tm 2.64, 2 Ag 2.75-2.91
Cl  0.0214  0.5925  0.0572 (multiplicity 9)  1 Tm 2.62, 2 Ag 2.72-2.93

---

The following is a PBE calculation of a relaxed RbTmAgCl5 crystal, from the Alexandria database.

Values from the calculation:
DFT total energy   -31.68 eV per formula unit
ΔE_f (raw)   -1.7691 eV/atom

Cell: 8.8285 12.4793 10.0782 Å, 90.00 111.05 90.00°
Closest atoms and distances in Å follow each position.
Space group C2/c (No. 15)
Asymmetric unit:
Rb  0.0000  0.1605  0.2500 (multiplicity 4)  7 Cl 3.35-3.66
Tm  0.0000  0.5000  0.0000 (multiplicity 4)  6 Cl 2.60-2.64
Ag  0.0000  0.1881  0.7500 (multiplicity 4)  4 Cl 2.59-2.63
Cl  0.0000  0.4366  0.2500 (multiplicity 4)  2 Tm 2.64
Cl  0.0987  0.3063  0.5856 (multiplicity 8)  1 Ag 2.59, 1 Tm 2.61
Cl  0.1980  0.0559  0.9345 (multiplicity 8)  1 Tm 2.60, 1 Ag 2.63

---

The following is a PBE calculation of a relaxed RbUAg2Cl8 crystal, from the Alexandria database.

Values from the calculation:
DFT total energy   -48.02 eV per formula unit
ΔE_f (raw)   -1.2744 eV/atom

Cell: 6.5695 6.6150 9.7805 Å, 88.02 87.96 76.11°
Closest atoms and distances in Å follow each position.
Space group P-1 (No. 2)
Asymmetric unit:
Rb  0.0000  0.0000  0.0000 (multiplicity 1)  6 Cl 3.25-3.55
U  0.0000  0.0000  0.5000 (multiplicity 1)  6 Cl 2.49-2.57
Ag  0.4982  0.4992  0.1713 (multiplicity 2)  4 Cl 2.56-2.66
Cl  0.2192  0.7775  0.6880 (multiplicity 2)  1 U 2.57, 1 Ag 2.66
Cl  0.2320  0.2471  0.4996 (multiplicity 2)  1 U 2.49
Cl  0.2349  0.7928  0.3117 (multiplicity 2)  1 U 2.57, 1 Ag 2.66
Cl  0.3103  0.3150  0.0084 (multiplicity 2)  2 Ag 2.56-2.57

---

The following is a PBE calculation of a relaxed RbUAgCl6 crystal, from the Alexandria database.

Values from the calculation:
DFT total energy   -39.63 eV per formula unit
ΔE_f (raw)   -1.4938 eV/atom

Cell: 8.3714 10.5770 14.8302 Å, 90.00 90.00 90.00°
Closest atoms and distances in Å follow each position.
Space group Imma (No. 74)
Asymmetric unit:
Rb  0.0000  0.2500  0.0546 (multiplicity 4)  5 Cl 3.31-3.33
U  0.0000  0.0000  0.5000 (multiplicity 4)  6 Cl 2.58-2.77
Ag  0.2500  0.2500  0.7500 (multiplicity 4)  2 Cl 2.42
Cl  0.0000  0.2500  0.5546 (multiplicity 4)  2 U 2.77
Cl  0.0000  0.2500  0.8314 (multiplicity 4)  2 Ag 2.42
Cl  0.2195  0.0454  0.3821 (multiplicity 16)  1 U 2.58

---

The following is a PBE calculation of a relaxed Rb2VAgCl6 crystal, from the Alexandria database.

Values from the calculation:
DFT total energy   -38.78 eV per formula unit
ΔE_f (raw)   -1.3797 eV/atom
Excess energy over the best structure of this formula in the dataset   0 meV per atom

Cell: 10.2683 10.2683 10.2683 Å, 90.00 90.00 90.00°
Closest atoms and distances in Å follow each position.
Space group Fm-3m (No. 225)
Asymmetric unit:
Rb  0.2500  0.2500  0.2500 (multiplicity 8)  12 Cl 3.63
V  0.0000  0.0000  0.0000 (multiplicity 4)  6 Cl 2.40
Ag  0.0000  0.0000  0.5000 (multiplicity 4)  6 Cl 2.73
Cl  0.0000  0.0000  0.2340 (multiplicity 24)  1 V 2.40